[1]
VASP calculation (GGA-PBE) on an optimized crystal structure of Pr3HoEr6Tm2.

a b c (Å): 6.1715 10.6823 11.7460
angles (deg): 90.00 100.07 90.00
Space group C2/m (No. 12)
Inequivalent atoms, fractional coordinates:
Pr (0.0000, 0.0000, 0.0000)
Pr (0.0000, 0.3332, 0.0000)
Ho (0.0000, 0.5000, 0.5000)
Er (0.2476, 0.0000, 0.7445)
Er (0.2479, 0.3332, 0.7444)
Tm (0.0000, 0.1667, 0.5000)

Calculated values
Fermi-level density of states: 1.374 states/eV/atom
Mass density: 8.40 g/cm3
Calculated total energy: -54.93 eV/f.u.
Magnetic moment: 0.00 μB/cell



[2]
VASP calculation (GGA-PBE) on an optimized crystal structure of PrHo4Er2Tm.

a b c (Å): 6.7558 11.7120 13.2167
angles (deg): 90.00 90.00 90.00
Space group Imma (No. 74)
Inequivalent atoms, fractional coordinates:
Pr (0.0000, 0.0000, 0.0000)
Ho (0.0000, 0.0006, 0.2520)
Ho (0.2482, 0.2500, 0.4993)
Er (0.0000, 0.0000, 0.5000)
Er (0.2500, 0.2500, 0.7500)
Tm (0.2500, 0.2500, 0.2500)

Calculated values
Fermi-level density of states: 2.193 states/eV/atom
Mass density: 8.28 g/cm3
Calculated total energy: -33.16 eV/f.u.
Magnetic moment: 10.47 μB/cell



[3]
VASP calculation (GGA-PBE) on an optimized crystal structure of Pr6HoEr3Tm2.

a b c (Å): 6.2758 10.8673 11.7991
angles (deg): 90.00 100.19 90.00
Space group C2/m (No. 12)
Inequivalent atoms, fractional coordinates:
Pr (0.2501, 0.0000, 0.2504)
Pr (0.2503, 0.1668, 0.7498)
Ho (0.0000, 0.0000, 0.5000)
Er (0.0000, 0.1666, 0.0000)
Er (0.0000, 0.5000, 0.0000)
Tm (0.0000, 0.3333, 0.5000)

Calculated values
Fermi-level density of states: 1.009 states/eV/atom
Mass density: 7.76 g/cm3
Calculated total energy: -55.71 eV/f.u.
Magnetic moment: 0.00 μB/cell